# Sr5ZnIn2

A relaxed structure of Sr5ZnIn2 (PBE, Alexandria via LeMat-Bulk).

The structure in POSCAR format:
```
Sr5ZnIn2
1.0
-4.892 -2.380 1.757
2.871 -0.915 6.753
-4.758 12.531 3.721
Sr In Zn
10 4 2
direct
0.500 0.664 0.894
0.500 0.336 0.106
0.000 0.634 0.219
0.000 0.866 0.719
0.500 0.836 0.394
0.000 0.000 0.000
0.500 0.164 0.606
0.000 0.366 0.781
0.000 0.134 0.281
0.000 0.500 0.500
0.500 0.138 0.867
0.500 0.638 0.633
0.500 0.862 0.133
0.500 0.362 0.367
0.000 0.000 0.500
0.000 0.500 0.000
```

Formation enthalpy at 0 K = -0.268 eV/atom
Total magnetic moment = 0.0 μB per formula unit
Electronic total energy = -34.610 eV/cell
Symmetry = Pbam (55)